VASP calculation (PBE-GGA) on an optimized crystal structure of Ba2Ca2Hg.

The structure in CIF format:
```
data_Ba2Ca2Hg
_chemical_formula_sum 'Ba4 Ca4 Hg2'
_space_group_name_H-M_alt 'I 4/m m m'
_space_group_IT_number 139
_space_group_name_Hall '-I 4 2'
_cell_length_a 4.198
_cell_length_b 4.198
_cell_length_c 25.180
_cell_angle_alpha 90.00
_cell_angle_beta 90.00
_cell_angle_gamma 90.00
loop_
_atom_site_label
_atom_site_fract_x
_atom_site_fract_y
_atom_site_fract_z
Ba1 0.000 0.000 0.080
Ca1 0.000 0.000 0.299
Hg1 0.000 0.000 0.500
```

Values from the calculation:
Energy relative to the elements: -0.21 eV per atom
Polymorph energy (0 for the lowest one): 0.0 kJ per mole of atoms

=====

VASP calculation (PBE-GGA) on an optimized crystal structure of Ca5Ga2H2.

The structure in CIF format:
```
data_Ca5Ga2H2
_chemical_formula_sum 'Ca20 Ga8 H8'
_space_group_name_H-M_alt 'I m a 2'
_space_group_IT_number 46
_cell_length_a 18.134
_cell_length_b 7.260
_cell_length_c 6.797
_cell_angle_alpha 90.00
_cell_angle_beta 90.00
_cell_angle_gamma 90.00
loop_
_space_group_symop_operation_xyz
'x,y,z'
'-x,-y,z'
'-x+1/2,y,z'
'x+1/2,-y,z'
'x+1/2,y+1/2,z+1/2'
'-x+1/2,-y+1/2,z+1/2'
'-x,y+1/2,z+1/2'
'x,-y+1/2,z+1/2'
loop_
_atom_site_label
_atom_site_fract_x
_atom_site_fract_y
_atom_site_fract_z
Ca1 0.015 0.245 0.000
Ca2 0.146 0.575 0.773
Ca3 0.250 0.134 0.858
Ga1 0.103 0.521 0.241
H1 0.000 0.000 0.253
H2 0.250 0.085 0.198
```

Values from the calculation:
Polymorph energy (0 for the lowest one): 1.6 kJ per mole of atoms

=====

VASP calculation (PBE-GGA) on an optimized crystal structure of LiTlSeN2.

The structure in CIF format:
```
data_LiTlSeN2
_chemical_formula_sum 'Li1 Tl1 Se1 N2'
_space_group_name_H-M_alt 'P 4/m m m'
_space_group_IT_number 123
_space_group_name_Hall '-P 4 2'
_cell_length_a 4.439
_cell_length_b 4.439
_cell_length_c 5.738
_cell_angle_alpha 90.00
_cell_angle_beta 90.00
_cell_angle_gamma 90.00
loop_
_atom_site_label
_atom_site_fract_x
_atom_site_fract_y
_atom_site_fract_z
Li1 0.000 0.000 0.000
Tl1 0.500 0.500 0.500
Se1 0.500 0.500 0.000
N1 0.000 0.500 0.500
```

Values from the calculation:
Energy relative to the elements, uncorrected: 135.5 kJ/mol of atoms

=====

VASP calculation (PBE-GGA) on an optimized crystal structure of CaPrHgGe.

The structure in CIF format:
```
data_CaPrHgGe
_chemical_formula_sum 'Ca4 Pr4 Hg4 Ge4'
_space_group_name_H-M_alt 'F -4 3 m'
_space_group_IT_number 216
_space_group_name_Hall 'F -4 2 3'
_cell_length_a 7.516
_cell_length_b 7.516
_cell_length_c 7.516
_cell_angle_alpha 90.00
_cell_angle_beta 90.00
_cell_angle_gamma 90.00
loop_
_atom_site_label
_atom_site_fract_x
_atom_site_fract_y
_atom_site_fract_z
Ca1 0.000 0.000 0.000
Pr1 0.000 0.000 0.500
Hg1 0.250 0.250 0.250
Ge1 0.250 0.250 0.750
```

Values from the calculation:
Energy relative to the elements: -0.56 eV per atom

=====

VASP calculation (PBE-GGA) on an optimized crystal structure of YTa2Ir.

The structure in CIF format:
```
data_YTa2Ir
_chemical_formula_sum 'Y2 Ta4 Ir2'
_space_group_name_H-M_alt 'I 4/m m m'
_space_group_IT_number 139
_space_group_name_Hall '-I 4 2'
_cell_length_a 3.968
_cell_length_b 3.968
_cell_length_c 9.864
_cell_angle_alpha 90.00
_cell_angle_beta 90.00
_cell_angle_gamma 90.00
loop_
_atom_site_label
_atom_site_fract_x
_atom_site_fract_y
_atom_site_fract_z
Y1 0.000 0.000 0.000
Ta1 0.000 0.500 0.250
Ir1 0.000 0.000 0.500
```

Values from the calculation:
Energy relative to the elements: 0.01 eV per atom
Polymorph energy (0 for the lowest one): 18.5 kJ per mole of atoms

=====

VASP calculation (PBE-GGA) on an optimized crystal structure of Cs2PuO6.

The structure in CIF format:
```
data_Cs2PuO6
_chemical_formula_sum 'Cs2 Pu1 O6'
_space_group_name_H-M_alt 'P -1'
_space_group_IT_number 2
_cell_length_a 4.222
_cell_length_b 7.024
_cell_length_c 7.046
_cell_angle_alpha 60.72
_cell_angle_beta 81.68
_cell_angle_gamma 81.65
loop_
_space_group_symop_operation_xyz
'x,y,z'
'-x,-y,-z'
loop_
_atom_site_label
_atom_site_fract_x
_atom_site_fract_y
_atom_site_fract_z
Cs1 0.245 0.163 0.164
Pu1 0.500 0.500 0.500
O1 0.151 0.236 0.689
O2 0.152 0.685 0.235
O3 0.341 0.655 0.648
```

Values from the calculation:
Energy relative to the elements, uncorrected: -167.1 kJ/mol of atoms

=====

VASP calculation (PBE-GGA) on an optimized crystal structure of RbCd12Pb7.

The structure in CIF format:
```
data_RbCd12Pb7
_chemical_formula_sum 'Rb3 Cd36 Pb21'
_space_group_name_H-M_alt 'R -3 m'
_space_group_IT_number 166
_space_group_name_Hall '-R 3 2"'
_cell_length_a 16.0942
_cell_length_b 16.0942
_cell_length_c 7.7122
_cell_angle_alpha 90.00
_cell_angle_beta 90.00
_cell_angle_gamma 120.00
loop_
_atom_site_label
_atom_site_fract_x
_atom_site_fract_y
_atom_site_fract_z
Rb1 0.0000 0.0000 0.0000
Cd1 0.0000 0.2655 0.0000
Cd2 0.1016 0.5508 0.9304
Pb1 0.0000 0.0000 0.5000
Pb2 0.1054 0.5527 0.3381
```

Values from the calculation:
Energy relative to the elements: 0.05 eV per atom

=====

VASP calculation (PBE-GGA) on an optimized crystal structure of Ac4InAu2.

The structure in CIF format:
```
data_Ac4InAu2
_chemical_formula_sum 'Ac32 In8 Au16'
_space_group_name_H-M_alt 'F d d d'
_space_group_IT_number 70
_cell_length_a 9.810
_cell_length_b 14.237
_cell_length_c 15.270
_cell_angle_alpha 90.00
_cell_angle_beta 90.00
_cell_angle_gamma 90.00
loop_
_space_group_symop_operation_xyz
'x,y,z'
'-x,-y,-z'
'-x+1/4,-y+1/4,z'
'x+1/4,y+1/4,-z'
'x,-y+1/4,-z+1/4'
'-x,y+1/4,z+1/4'
'-x+1/4,y,-z+1/4'
'x+1/4,-y,z+1/4'
'x,y+1/2,z+1/2'
'-x,-y+1/2,-z+1/2'
'-x+1/4,-y+3/4,z+1/2'
'x+1/4,y+3/4,-z+1/2'
'x,-y+3/4,-z+3/4'
'-x,y+3/4,z+3/4'
'-x+1/4,y+1/2,-z+3/4'
'x+1/4,-y+1/2,z+3/4'
'x+1/2,y,z+1/2'
'-x+1/2,-y,-z+1/2'
'-x+3/4,-y+1/4,z+1/2'
'x+3/4,y+1/4,-z+1/2'
'x+1/2,-y+1/4,-z+3/4'
'-x+1/2,y+1/4,z+3/4'
'-x+3/4,y,-z+3/4'
'x+3/4,-y,z+3/4'
'x+1/2,y+1/2,z'
'-x+1/2,-y+1/2,-z'
'-x+3/4,-y+3/4,z'
'x+3/4,y+3/4,-z'
'x+1/2,-y+3/4,-z+1/4'
'-x+1/2,y+3/4,z+1/4'
'-x+3/4,y+1/2,-z+1/4'
'x+3/4,-y+1/2,z+1/4'
loop_
_atom_site_label
_atom_site_fract_x
_atom_site_fract_y
_atom_site_fract_z
Ac1 0.055 0.277 0.459
In1 0.125 0.125 0.625
Au1 0.000 0.000 0.000
```

Values from the calculation:
Energy relative to the elements: -0.48 eV per atom